8
Lattice="3.806 0.000 0.000 -1.903 3.296 0.000 0.000 0.000 18.124" Properties=species:S:1:pos:R:3 comment="GGA-PBE CsTb4CSe2, relaxed" space_group="No. 164" volume_a3_per_atom=28.42 m_tot_mub_per_cell=0.83 energy_ev_per_atom=-5.24 pbc="T T T"
Cs 0.000 0.000 0.000
Tb 0.000 2.197 3.781
Tb 0.000 2.197 7.740
Tb 1.903 1.099 10.384
Tb 1.903 1.099 14.343
C 0.000 0.000 9.062
Se 0.000 2.197 12.432
Se 1.903 1.099 5.692